Cs4RbIn3Br12 | PBE | relaxed

a b c (Å): 10.1527 10.1527 10.1527
angles (deg): 109.47 109.47 109.47
With the nearest neighbours (Å) after each atom.
Atoms (fractional coordinates):
Cs 0.0000 0.0000 0.5000  12 Br 4.14-4.15
Cs 0.0000 0.5000 0.0000  12 Br 4.14-4.15
Rb 0.0000 0.0000 0.0000  6 Br 3.15
Br 0.2691 0.0000 0.2691  1 In 2.71
Br 0.2691 0.2691 0.0000  1 In 2.71
Br 0.7309 0.7309 0.0000  1 In 2.71
Br 0.5000 0.2500 0.7500  2 In 2.93
Br 0.7500 0.5000 0.2500  2 In 2.93
In 0.5000 0.5000 0.0000  6 Br 2.71-2.93
Cs 0.5000 0.5000 0.5000  12 Br 4.14-4.15
In 0.0000 0.5000 0.5000  6 Br 2.71-2.93
Br 0.0000 0.7309 0.7309  1 In 2.71
Br 0.7500 0.2500 0.5000  2 In 2.93
Br 0.2500 0.7500 0.5000  2 In 2.93
Cs 0.5000 0.0000 0.0000  12 Br 4.14-4.15
In 0.5000 0.0000 0.5000  6 Br 2.71-2.93
Br 0.2500 0.5000 0.7500  2 In 2.93
Br 0.7309 0.0000 0.7309  1 In 2.71
Br 0.5000 0.7500 0.2500  2 In 2.93
Br 0.0000 0.2691 0.2691  1 In 2.71

ΔE_f (raw): -1.269 eV per atom
DFT total energy: -58.06 eV for the cell shown



Ba3PdF | PBE | relaxed

a b c (Å): 4.1826 8.8541 10.2232
angles (deg): 102.49 90.00 90.00
With the nearest neighbours (Å) after each atom.
Atoms (fractional coordinates):
F 0.7500 0.1737 0.7517  3 Ba 2.63-2.84
Ba 0.2500 0.7276 0.9867  1 F 2.63
Pd 0.7500 0.6723 0.7077  7 Ba 3.20-3.48
F 0.2500 0.8263 0.2483  3 Ba 2.63-2.84
Ba 0.2500 0.9521 0.6930  2 F 2.84
Ba 0.7500 0.6074 0.3622  3 Pd 3.20-3.45, 2 F 3.23
Ba 0.7500 0.2724 0.0133  1 F 2.63
Pd 0.2500 0.3277 0.2923  7 Ba 3.20-3.48
Ba 0.2500 0.3926 0.6378  3 Pd 3.20-3.45, 2 F 3.23
Ba 0.7500 0.0479 0.3070  2 F 2.84

Relative energy among the computed polymorphs: 0.0 meV/atom
ΔE_f (raw): -1.269 eV per atom
DFT total energy: -38.35 eV for the cell shown



SmThNi3 | PBE | relaxed

a b c (Å): 3.7920 4.0776 12.7820
angles (deg): 90.00 98.53 90.00
With the nearest neighbours (Å) after each atom.
Atoms (fractional coordinates):
Th 0.8032 0.2500 0.6064  6 Ni 2.77-2.82
Sm 0.9317 0.7500 0.8634  10 Ni 3.00-3.04
Ni 0.6804 0.2500 0.3607  2 Ni 2.59, 4 Th 2.82
Ni 0.6170 0.7500 0.2339  3 Ni 2.36-2.59
Ni 0.5236 0.7500 0.0473  3 Ni 2.36
Ni 0.3196 0.7500 0.6393  2 Ni 2.59, 4 Th 2.82
Ni 0.4764 0.2500 0.9527  3 Ni 2.36
Sm 0.0683 0.2500 0.1366  10 Ni 3.00-3.04
Th 0.1968 0.7500 0.3936  6 Ni 2.77-2.82
Ni 0.3830 0.2500 0.7661  3 Ni 2.36-2.59

DFT total energy: -62.96 eV for the cell shown



P2IrC | PBE | relaxed

a b c (Å): 5.0043 5.0043 5.6074
angles (deg): 63.50 63.50 90.00
With the nearest neighbours (Å) after each atom.
Atoms (fractional coordinates):
P 0.8750 0.8153 0.7500  2 C 1.91
P 0.5653 0.1250 0.2500  2 C 1.91
Ir 0.7500 0.2500 0.5000  4 P 2.27
C 0.5000 0.5000 0.0000  4 P 1.91
C 0.2500 0.7500 0.5000  4 P 1.91
P 0.3750 0.4347 0.7500  2 C 1.91
P 0.1847 0.6250 0.2500  2 C 1.91
Ir 0.0000 0.0000 0.0000  4 P 2.27

DFT total energy: -56.76 eV for the cell shown